Record 1
! Ac3ZnPb3 PBE relaxed; values from VASP
&SYSTEM
  ibrav = 0, nat = 14, ntyp = 3
/
ATOMIC_SPECIES
Pb 207.20 Pb.upf
Ac 227.00 Ac.upf
Zn 65.41 Zn.upf
CELL_PARAMETERS angstrom
-4.1753 -2.4882 -0.4646
-1.2780 -3.6738 5.5032
-9.6959 10.1859 6.9261
ATOMIC_POSITIONS crystal
Pb 0.0242 0.1871 0.7645
Ac 0.5952 0.7286 0.0811
Pb 0.9758 0.8129 0.2355
Pb 0.1305 0.8157 0.9233
Ac 0.2585 0.2512 0.2318
Ac 0.5262 0.3326 0.6149
Ac 0.7415 0.7488 0.7682
Pb 0.8467 0.7605 0.5461
Zn 0.7738 0.0651 0.3874
Ac 0.4048 0.2714 0.9189
Ac 0.4738 0.6674 0.3851
Zn 0.2262 0.9349 0.6126
Pb 0.8695 0.1843 0.0767
Pb 0.1533 0.2395 0.4539
! formation energy from the elements	-0.48	eV/atom
! energy	-56.108	eV/cell
! density of states at the Fermi level	5.26	states/eV/f.u.
! space-group type	C2/m

=====

Record 2
! Dy5In2Ir2Rh PBE relaxed; values from VASP
&SYSTEM
  ibrav = 0, nat = 20, ntyp = 4
/
ATOMIC_SPECIES
Ir 192.22 Ir.upf
Dy 162.50 Dy.upf
Rh 102.91 Rh.upf
In 114.82 In.upf
CELL_PARAMETERS angstrom
-0.6140 2.7042 -2.2545
6.3855 -5.3186 -8.1185
-9.4980 -5.4231 -3.9178
ATOMIC_POSITIONS crystal
Ir 0.0000 0.8633 0.3633
Dy 0.5000 0.0000 0.5000
Dy 0.5000 0.5000 0.0000
Dy 0.5000 0.3046 0.5673
Rh 0.0000 0.5000 0.5000
Dy 0.5000 0.6954 0.4327
In 0.0000 0.8223 0.6777
In 0.0000 0.6777 0.1777
In 0.0000 0.1777 0.3223
Ir 0.0000 0.6367 0.8633
Dy 0.5000 0.5673 0.6954
Dy 0.5000 0.1954 0.0673
Dy 0.5000 0.0673 0.8046
Ir 0.0000 0.3633 0.1367
Dy 0.5000 0.8046 0.9327
Ir 0.0000 0.1367 0.6367
Dy 0.5000 0.4327 0.3046
Dy 0.5000 0.9327 0.1954
In 0.0000 0.3223 0.8223
Rh 0.0000 0.0000 0.0000
! formation energy from the elements	-0.66	eV/atom
! energy	-120.233	eV/cell
! density of states at the Fermi level	5.04	states/eV/f.u.
! space-group type	P4/mbm

=====

Record 3
! ReHg3Pt PBE relaxed; values from VASP
&SYSTEM
  ibrav = 0, nat = 5, ntyp = 3
/
ATOMIC_SPECIES
Pt 195.08 Pt.upf
Re 186.21 Re.upf
Hg 200.59 Hg.upf
CELL_PARAMETERS angstrom
5.2344 0.0000 0.0000
0.0000 5.2344 0.0000
0.0000 0.0000 5.2344
ATOMIC_POSITIONS crystal
Pt 0.0000 0.0000 0.0000
Re 0.5000 0.5000 0.5000
Hg 0.0000 0.0000 0.5000
Hg 0.5000 0.0000 0.0000
Hg 0.0000 0.5000 0.0000
! formation energy from the elements	1.30	eV/atom
! energy	-12.899	eV/cell
! density of states at the Fermi level	2.09	states/eV/f.u.
! space-group type	Pm-3m

=====

Record 4
! Na3YNi PBE relaxed; values from VASP
&SYSTEM
  ibrav = 0, nat = 5, ntyp = 3
/
ATOMIC_SPECIES
Na 22.99 Na.upf
Ni 58.69 Ni.upf
Y 88.91 Y.upf
CELL_PARAMETERS angstrom
5.2467 0.0000 0.0000
0.0000 5.2467 0.0000
0.0000 0.0000 5.2467
ATOMIC_POSITIONS crystal
Na 0.5000 0.0000 0.0000
Ni 0.0000 0.0000 0.0000
Na 0.0000 0.0000 0.5000
Na 0.0000 0.5000 0.0000
Y 0.5000 0.5000 0.5000
! formation energy from the elements	0.70	eV/atom
! energy	-12.726	eV/cell
! density of states at the Fermi level	5.70	states/eV/f.u.
! space-group type	Pm-3m

=====

Record 5
! Ta5Ir2Pt4 PBE relaxed; values from VASP
&SYSTEM
  ibrav = 0, nat = 22, ntyp = 3
/
ATOMIC_SPECIES
Ta 180.95 Ta.upf
Ir 192.22 Ir.upf
Pt 195.08 Pt.upf
CELL_PARAMETERS angstrom
-2.1658 -0.1371 -3.2495
1.5813 -6.0470 -0.7987
-11.9491 -4.2008 8.1414
ATOMIC_POSITIONS crystal
Ta 0.0000 0.2035 0.6962
Ir 0.5000 0.9969 0.2050
Pt 0.5000 0.3002 0.5449
Ta 0.0000 0.2965 0.1962
Pt 0.5000 0.5979 0.1240
Ta 0.0000 0.3947 0.4100
Pt 0.5000 0.6998 0.4551
Ta 0.0000 0.7965 0.3038
Pt 0.5000 0.0979 0.3760
Ir 0.5000 0.0031 0.7950
Ta 0.0000 0.8947 0.0900
Pt 0.5000 0.9021 0.6240
Ir 0.5000 0.5031 0.7050
Ta 0.0000 0.1053 0.9100
Ta 0.0000 0.7035 0.8038
Pt 0.5000 0.4021 0.8760
Ta 0.0000 0.0000 0.5000
Ta 0.0000 0.5000 0.0000
Pt 0.5000 0.1998 0.0449
Pt 0.5000 0.8002 0.9551
Ir 0.5000 0.4969 0.2950
Ta 0.0000 0.6053 0.5900
! formation energy from the elements	-0.47	eV/atom
! energy	-212.685	eV/cell
! density of states at the Fermi level	10.24	states/eV/f.u.
! space-group type	Pbam

=====

Record 6
! HgMo3Ru PBE relaxed; values from VASP
&SYSTEM
  ibrav = 0, nat = 5, ntyp = 3
/
ATOMIC_SPECIES
Ru 101.07 Ru.upf
Mo 95.94 Mo.upf
Hg 200.59 Hg.upf
CELL_PARAMETERS angstrom
4.8404 0.0000 0.0000
0.0000 4.8404 0.0000
0.0000 0.0000 4.8404
ATOMIC_POSITIONS crystal
Ru 0.5000 0.5000 0.5000
Mo 0.5000 0.0000 0.0000
Hg 0.0000 0.0000 0.0000
Mo 0.0000 0.0000 0.5000
Mo 0.0000 0.5000 0.0000
! formation energy from the elements	2.98	eV/atom
! energy	-27.184	eV/cell
! density of states at the Fermi level	12.38	states/eV/f.u.
! space-group type	Pm-3m

=====

Record 7
! AsPtPbBr2 PBE relaxed; values from VASP
&SYSTEM
  ibrav = 0, nat = 5, ntyp = 4
/
ATOMIC_SPECIES
Br 79.90 Br.upf
Pb 207.20 Pb.upf
As 74.92 As.upf
Pt 195.08 Pt.upf
CELL_PARAMETERS angstrom
-3.6912 -3.7023 0.3328
3.5392 -3.3568 1.9102
-1.0679 1.4757 4.5719
ATOMIC_POSITIONS crystal
Br 0.5000 0.0000 0.0000
Pb 0.5000 0.5000 0.5000
As 0.0000 0.0000 0.5000
Br 0.0000 0.5000 0.0000
Pt 0.0000 0.0000 0.0000
! uncorrected formation energy	0.057	eV/atom
! energy	-17.462	eV/cell
! density of states at the Fermi level	3.40	states/eV/f.u.
! space-group type	P4/mmm

=====

Record 8
! ScGa3Cu3 PBE relaxed; values from VASP
&SYSTEM
  ibrav = 0, nat = 14, ntyp = 3
/
ATOMIC_SPECIES
Cu 63.55 Cu.upf
Ga 69.72 Ga.upf
Sc 44.96 Sc.upf
CELL_PARAMETERS angstrom
6.5608 0.0000 0.0000
0.0000 6.5608 0.0000
0.0000 0.0000 6.5608
ATOMIC_POSITIONS crystal
Cu 0.0000 0.5000 0.7500
Cu 0.7500 0.0000 0.5000
Cu 0.5000 0.7500 0.0000
Ga 0.2500 0.5000 0.0000
Ga 0.5000 0.0000 0.7500
Cu 0.2500 0.0000 0.5000
Ga 0.7500 0.5000 0.0000
Ga 0.0000 0.2500 0.5000
Cu 0.0000 0.5000 0.2500
Ga 0.0000 0.7500 0.5000
Ga 0.5000 0.0000 0.2500
Cu 0.5000 0.2500 0.0000
Sc 0.5000 0.5000 0.5000
Sc 0.0000 0.0000 0.0000
! formation energy from the elements	0.31	eV/atom
! energy	-51.043	eV/cell
! density of states at the Fermi level	4.54	states/eV/f.u.
! space-group type	Pm-3n

=====

Record 9
! Tb2Nd3Cd2 PBE relaxed; values from VASP
&SYSTEM
  ibrav = 0, nat = 7, ntyp = 3
/
ATOMIC_SPECIES
Nd 144.24 Nd.upf
Tb 158.93 Tb.upf
Cd 112.41 Cd.upf
CELL_PARAMETERS angstrom
-3.0760 2.4285 3.8662
-1.6582 -4.7373 -2.2631
6.0869 -1.7834 5.9630
ATOMIC_POSITIONS crystal
Nd 0.3419 0.6837 0.5255
Tb 0.9263 0.8525 0.2783
Nd 0.6581 0.3163 0.4745
Nd 0.5000 0.0000 0.0000
Tb 0.0737 0.1475 0.7217
Cd 0.7894 0.5788 0.8682
Cd 0.2106 0.4212 0.1318
! formation energy from the elements	-0.15	eV/atom
! energy	-26.461	eV/cell
! density of states at the Fermi level	7.28	states/eV/f.u.
! space-group type	R-3m

=====

Record 10
! HfNiI2 PBE relaxed; values from VASP
&SYSTEM
  ibrav = 0, nat = 8, ntyp = 3
/
ATOMIC_SPECIES
I 126.90 I.upf
Hf 178.49 Hf.upf
Ni 58.69 Ni.upf
CELL_PARAMETERS angstrom
-2.0871 -5.6459 2.3384
4.3991 -3.1032 -3.5662
4.7022 -4.0064 3.4401
ATOMIC_POSITIONS crystal
I 0.5799 0.1250 0.2500
I 0.8750 0.8299 0.7500
I 0.3750 0.4201 0.7500
Hf 0.7500 0.2500 0.5000
Ni 0.2500 0.7500 0.5000
Ni 0.5000 0.5000 0.0000
Hf 0.0000 0.0000 0.0000
I 0.1701 0.6250 0.2500
! uncorrected formation energy	0.414	eV/atom
! energy	-34.361	eV/cell
! density of states at the Fermi level	3.79	states/eV/f.u.
! space-group type	I-42d

=====

Record 11
! PuAgHgRh PBE relaxed; values from VASP
&SYSTEM
  ibrav = 0, nat = 4, ntyp = 4
/
ATOMIC_SPECIES
Pu 244.00 Pu.upf
Ag 107.87 Ag.upf
Hg 200.59 Hg.upf
Rh 102.91 Rh.upf
CELL_PARAMETERS angstrom
4.8701 0.0000 0.0000
2.4351 4.2176 0.0000
2.4351 1.4059 3.9764
ATOMIC_POSITIONS crystal
Pu 0.0000 0.0000 0.0000
Ag 0.2500 0.2500 0.2500
Hg 0.5000 0.5000 0.5000
Rh 0.7500 0.7500 0.7500
! formation energy from the elements	-0.05	eV/atom
! energy	-25.021	eV/cell
! density of states at the Fermi level	12.20	states/eV/f.u.
! space-group type	F-43m

=====

Record 12
! Fe2AgAu PBE relaxed; values from VASP
&SYSTEM
  ibrav = 0, nat = 8, ntyp = 3
/
ATOMIC_SPECIES
Ag 107.87 Ag.upf
Au 196.97 Au.upf
Fe 55.84 Fe.upf
CELL_PARAMETERS angstrom
7.1340 0.0000 0.0000
0.0000 7.1340 0.0000
3.5670 3.5670 2.6420
ATOMIC_POSITIONS crystal
Ag 0.2500 0.7500 0.5000
Au 0.7500 0.2500 0.5000
Au 0.0000 0.0000 0.0000
Fe 0.1160 0.6250 0.2500
Fe 0.3750 0.3660 0.7500
Fe 0.6340 0.1250 0.2500
Ag 0.5000 0.5000 0.0000
Fe 0.8750 0.8840 0.7500
! formation energy from the elements	0.63	eV/atom
! energy	-41.063	eV/cell
! density of states at the Fermi level	4.32	states/eV/f.u.
! space-group type	I-42d